1.
Entry from Alexandria via LeMat-Bulk: a relaxed SbP2WO crystal (GGA+U).

a = 4.9832 Å, b = 4.9832 Å, c = 3.8147 Å
α = 90.00°, β = 90.00°, γ = 90.00°
Space group P4/mmm (No. 123)
One atom of each set of equivalent atoms:
Sb (0.0000, 0.0000, 0.0000) [1 per cell]
P (0.0000, 0.5000, 0.5000) [2 per cell]
W (0.5000, 0.5000, 0.5000) [1 per cell]
O (0.5000, 0.5000, 0.0000) [1 per cell]

***

2.
Entry from Alexandria via LeMat-Bulk: a relaxed SbP6W3O24 crystal (GGA+U).

a = 8.8626 Å, b = 8.8626 Å, c = 22.2865 Å
α = 90.00°, β = 90.00°, γ = 120.00°
Space group R3 (No. 146, hexagonal axes)
One atom of each set of equivalent atoms:
Sb (0.0000, 0.0000, 0.0000) [3 per cell]
P (0.0012, 0.2900, 0.8883) [9 per cell]
P (0.0205, 0.7341, 0.3898) [9 per cell]
W (0.0000, 0.0000, 0.2827) [3 per cell]
W (0.0000, 0.0000, 0.4972) [3 per cell]
W (0.0000, 0.0000, 0.7819) [3 per cell]
O (0.0236, 0.2023, 0.8305) [9 per cell]
O (0.0390, 0.8402, 0.4472) [9 per cell]
O (0.0616, 0.8522, 0.3330) [9 per cell]
O (0.0690, 0.8255, 0.0541) [9 per cell]
O (0.1512, 0.4672, 0.2107) [9 per cell]
O (0.1671, 0.4405, 0.6076) [9 per cell]
O (0.1686, 0.6893, 0.3940) [9 per cell]
O (0.1795, 0.4597, 0.8984) [9 per cell]

***

3.
Entry from Alexandria via LeMat-Bulk: a relaxed SbP2WO crystal (GGA+U).

a = 5.0096 Å, b = 5.0096 Å, c = 3.8948 Å
α = 90.00°, β = 90.00°, γ = 90.00°
Space group P4/mmm (No. 123)
One atom of each set of equivalent atoms:
Sb (0.0000, 0.0000, 0.0000) [1 per cell]
P (0.0000, 0.5000, 0.0000) [2 per cell]
W (0.5000, 0.5000, 0.5000) [1 per cell]
O (0.0000, 0.0000, 0.5000) [1 per cell]

***

Number 1: E_tot -5.55 eV/atom. Number 2: E_tot -7.29 eV/atom. Number 3: E_tot -4.74 eV/atom.